Entry 1:
Here is a geometry-optimized ZrURh4 structure from Alexandria. Energies are from PBE.

```
24
Lattice="-2.010 2.215 2.653 -5.800 -1.451 -3.183 -1.824 -12.412 8.981" Properties=species:S:1:pos:R:3 pbc="T T T"
Rh -3.920 -5.485 3.115
Rh -4.006 -2.586 3.643
Rh -1.472 -4.044 3.768
Rh -6.151 -1.653 -1.774
Rh -5.680 -9.716 8.327
Rh -3.484 -9.995 10.224
Rh -6.713 -1.997 1.100
Rh -3.955 -1.932 0.123
Rh -8.163 -7.604 4.683
Rh -2.965 -7.278 5.337
Rh -5.628 -9.062 4.808
Rh -6.670 -4.370 3.114
Rh -6.399 -11.639 6.376
Rh -2.922 -9.651 7.351
Rh -5.714 -6.163 5.335
Rh -3.235 -0.009 2.075
Zr -6.165 -7.127 2.785
Zr -5.545 0.365 0.013
Zr -4.090 -12.014 8.438
Zr -3.469 -4.522 5.665
U -1.678 -2.252 2.115
U -7.957 -9.397 6.336
U -4.723 -3.969 1.241
U -4.911 -7.680 7.210
```

Output
Spin magnetization: 0.00 μB/f.u.
Total energy: -8.745 eV/atom
Calculated formation energy: -0.54 eV per atom
Space-group type: Pnma

Entry 2:
Here is a geometry-optimized ZrURh5 structure from Alexandria. Energies are from PBE.

```
7
Lattice="-0.311 0.038 3.935 2.690 -2.879 0.240 5.620 5.284 0.393" Properties=species:S:1:pos:R:3 pbc="T T T"
Rh 1.140 1.237 2.058
Rh 5.669 2.626 0.422
Rh 4.000 1.222 2.284
Rh 2.641 -0.221 0.211
Rh 4.169 4.085 2.270
Zr 2.810 2.642 0.196
U 1.190 -1.421 2.088
```

Output
Spin magnetization: 0.00 μB/f.u.
Total energy: -8.638 eV/atom
Calculated formation energy: -0.55 eV per atom
Space-group type: P4/mmm

Entry 3:
Here is a geometry-optimized Zr2URh structure from Alexandria. Energies are from PBE.

```
4
Lattice="-1.863 -1.634 2.032 2.525 -1.754 0.904 1.630 5.318 5.771" Properties=species:S:1:pos:R:3 pbc="T T T"
Zr 1.279 4.172 4.528
Zr 0.351 1.146 1.244
Rh 0.331 -1.694 1.468
U 1.146 0.965 4.353
```

Output
Energy above the lowest structure with this stoichiometry: 0.0 kJ/mol of atoms
Spin magnetization: 1.99 μB/f.u.
Total energy: -9.152 eV/atom
Calculated formation energy: -0.22 eV per atom
Space-group type: P4/mmm

Entry 4:
Here is a geometry-optimized ZrURh2 structure from Alexandria. Energies are from PBE.

```
4
Lattice="-2.521 -0.460 -2.063 1.793 -2.165 -1.709 -2.358 -5.131 4.027" Properties=species:S:1:pos:R:3 pbc="T T T"
U -1.543 -3.878 0.128
Rh -1.799 -3.915 3.072
Rh -0.559 -1.216 0.954
Zr -0.364 -1.312 -1.886
```

Output
Spin magnetization: 2.06 μB/f.u.
Total energy: -9.160 eV/atom
Calculated formation energy: -0.52 eV per atom
Space-group type: P4/mmm